An optimized crystal structure of FePO2, computed with GGA+U.

Results
Final energy ... -5.808 eV/atom
Total magnetic moment ... 0.05 μB per formula unit
Theoretical density ... 4.83 g/cm3
Space group ... R-3m (166)

abc: 5.9561 5.9561 5.9561
angles: 27.88 27.88 27.88
Last column: nearest neighbours and their distance in Å.
Positions (direct):
P 0.0000 0.0000 0.0000  2 O 1.70
O 0.0990 0.0990 0.0990  1 P 1.70
Fe 0.5000 0.5000 0.5000  6 O 2.02
O 0.9010 0.9010 0.9010  1 P 1.70

---

An optimized crystal structure of FeP2O2, computed with GGA+U.

Results
Final energy ... -4.615 eV/atom
Total magnetic moment ... 4.26 μB per formula unit
Energy above the lowest structure with this stoichiometry ... 5.03 eV per formula unit
Theoretical density ... 3.63 g/cm3
Space group ... P4/mmm (123)

abc: 3.6553 3.6553 5.1312
angles: 90.00 90.00 90.00
Last column: nearest neighbours and their distance in Å.
Positions (direct):
P 0.0000 0.5000 0.0000  2 O 1.83
O 0.0000 0.0000 0.5000  2 O 2.57, 4 Fe 2.58
O 0.0000 0.0000 0.0000  4 P 1.83
P 0.5000 0.0000 0.0000  2 O 1.83
Fe 0.5000 0.5000 0.5000  4 O 2.58

---

An optimized crystal structure of Fe3P4O16, computed with GGA+U.

Results
Final energy ... -6.855 eV/atom
Total magnetic moment ... 18.16 μB per formula unit
Theoretical density ... 2.79 g/cm3
Space group ... P2_1/c (14)

abc: 5.2288 8.3382 16.1887
angles: 67.57 90.00 90.00
Last column: nearest neighbours and their distance in Å.
Positions (direct):
O 0.4175 0.0447 0.8924  1 P 1.55
O 0.9697 0.6342 0.1755  1 P 1.54
O 0.0825 0.0447 0.3924  1 P 1.55
O 0.2484 0.5511 0.8980  1 P 1.53
O 0.5303 0.6342 0.6755  1 P 1.54
O 0.7181 0.4665 0.4256  1 P 1.54
O 0.0718 0.0996 0.7078  1 P 1.55
P 0.9990 0.4841 0.1431  4 O 1.53-1.54
P 0.8714 0.9245 0.3805  4 O 1.54-1.55
O 0.5718 0.9004 0.7922  1 P 1.55
P 0.4990 0.5159 0.3569  4 O 1.53-1.54
O 0.1113 0.9893 0.1201  1 P 1.54
O 0.8887 0.0107 0.8799  1 P 1.54
O 0.3863 0.2513 0.0404  1 P 1.54
O 0.3887 0.9893 0.6201  1 P 1.54
O 0.9282 0.9004 0.2922  1 P 1.55
P 0.3714 0.0755 0.1195  4 O 1.54-1.55
O 0.9175 0.9553 0.6076  1 P 1.55
P 0.1286 0.0755 0.6195  4 O 1.54-1.55
O 0.2516 0.5511 0.3980  1 P 1.53
O 0.5825 0.9553 0.1076  1 P 1.55
Fe 0.6580 0.8344 0.6943  5 O 1.92-2.02
P 0.5010 0.4841 0.6431  4 O 1.53-1.54
O 0.7484 0.4489 0.6020  1 P 1.53
Fe 0.1580 0.1656 0.8057  5 O 1.92-2.02
O 0.9275 0.6813 0.7762  1 P 1.54
Fe 0.0000 0.5000 0.5000  6 O 1.99-2.03
P 0.0010 0.5159 0.8569  4 O 1.53-1.54
O 0.5725 0.6813 0.2762  1 P 1.54
O 0.4282 0.0996 0.2078  1 P 1.55
P 0.6286 0.9245 0.8805  4 O 1.54-1.55
Fe 0.3420 0.1656 0.3057  5 O 1.92-2.02
O 0.0725 0.3187 0.2238  1 P 1.54
O 0.2819 0.5335 0.5744  1 P 1.54
O 0.7819 0.4665 0.9256  1 P 1.54
O 0.2181 0.5335 0.0744  1 P 1.54
O 0.7516 0.4489 0.1020  1 P 1.53
O 0.6113 0.0107 0.3799  1 P 1.54
Fe 0.5000 0.5000 0.0000  6 O 1.99-2.03
O 0.4275 0.3187 0.7238  1 P 1.54
O 0.1137 0.2513 0.5404  1 P 1.54
O 0.4697 0.3658 0.3245  1 P 1.54
O 0.8863 0.7487 0.4596  1 P 1.54
Fe 0.8420 0.8344 0.1943  5 O 1.92-2.02
O 0.0303 0.3658 0.8245  1 P 1.54
O 0.6137 0.7487 0.9596  1 P 1.54

---

An optimized crystal structure of FeP2O7, computed with GGA+U.

Results
Final energy ... -6.916 eV/atom
Total magnetic moment ... 3.93 μB per formula unit
Energy above the lowest structure with this stoichiometry ... 0.39 eV per formula unit
Theoretical density ... 3.14 g/cm3
Space group ... C2 (5)

abc: 5.2372 5.2372 4.6205
angles: 81.91 81.91 100.30
Last column: nearest neighbours and their distance in Å.
Positions (direct):
O 0.8038 0.9130 0.3020  1 P 1.53
O 0.5485 0.4515 0.5000  2 P 1.61
O 0.8467 0.6710 0.8063  1 P 1.53
P 0.2682 0.3390 0.4102  4 O 1.52-1.61
O 0.0870 0.1962 0.6980  1 P 1.53
O 0.4298 0.8378 0.7316  1 P 1.52
P 0.6610 0.7318 0.5898  4 O 1.52-1.61
Fe 0.1107 0.8893 0.0000  6 O 2.01-2.02
O 0.1622 0.5702 0.2684  1 P 1.52
O 0.3290 0.1533 0.1937  1 P 1.53

---

- Which of these has the highest total magnetic moment?
  Fe3P4O16

---

Please write out number 1 again, unchanged.
An optimized crystal structure of FePO2, computed with GGA+U.

Results
Final energy ... -5.808 eV/atom
Total magnetic moment ... 0.05 μB per formula unit
Theoretical density ... 4.83 g/cm3
Space group ... R-3m (166)

abc: 5.9561 5.9561 5.9561
angles: 27.88 27.88 27.88
Last column: nearest neighbours and their distance in Å.
Positions (direct):
P 0.0000 0.0000 0.0000  2 O 1.70
O 0.0990 0.0990 0.0990  1 P 1.70
Fe 0.5000 0.5000 0.5000  6 O 2.02
O 0.9010 0.9010 0.9010  1 P 1.70

---

- Look up the final energy of the second one.
  -4.615 eV/atom

---

- The highest theoretical density belongs to which entry?
  FePO2